TbSiS3 | GGA-PBE | optimized geometry

E above lowest polymorph, meV/atom: 203.6
Calculated total energy, eV per atom: -5.594
Symmetry: Pna2_1
Size of the total moment, μB per atom: 0.0000
Formation energy without anion corrections, eV per atom: -1.11

Unit cell a=6.316 b=7.737 c=8.863 alpha=90.00 beta=90.00 gamma=90.00
Positions (direct):
1 Tb 0.071 0.121 0.717
2 Tb 0.429 0.621 0.717
3 Tb 0.929 0.879 0.217
4 Tb 0.571 0.379 0.217
5 S 0.852 0.185 0.390
6 S 0.358 0.321 0.520
7 S 0.142 0.821 0.520
8 S 0.858 0.179 0.020
9 S 0.329 0.052 0.195
10 S 0.352 0.315 0.890
11 S 0.171 0.552 0.195
12 S 0.148 0.815 0.890
13 S 0.648 0.685 0.390
14 S 0.642 0.679 0.020
15 S 0.829 0.448 0.695
16 S 0.671 0.948 0.695
17 Si 0.339 0.775 0.089
18 Si 0.661 0.225 0.589
19 Si 0.161 0.275 0.089
20 Si 0.839 0.725 0.589